1.
Computed, not measured: crystalline NaHO2 at its relaxed geometry at the PBE level of DFT.

The structure belongs to space group R-3m (No. 166, hexagonal axes); the cell edges are 2.8391, 2.8391 and 16.6268 Å and the angles 90.00°, 90.00° and 120.00°. The inequivalent atoms are Na at (0.0000, 0.0000, 0.0000), H at (0.0000, 0.0000, 0.5000) and O at (0.0000, 0.0000, 0.4274).

The theoretical density is 2.40 Mg/m³. The energy above the most stable polymorph in this dataset comes out at 0.0 meV/atom. The value obtained for the electronic total energy is -0.146 Ha/atom.



2.
Computed, not measured: crystalline LiZn5Ga4 at its relaxed geometry at the PBE level of DFT.

The structure belongs to space group I4 (No. 79); the cell edges are 8.2701, 8.2701 and 5.1729 Å and the angles 90.00°, 90.00° and 90.00°. The inequivalent atoms are Li at (0.0000, 0.0000, 0.0000), Zn at (0.0000, 0.0000, 0.4852), Zn at (0.0589, 0.3438, 0.2090) and Ga at (0.1398, 0.2482, 0.7105).

The calculation puts the formation energy from the elements at 61 meV/atom. The theoretical density is 5.75 Mg/m³. The value obtained for the electronic total energy is -0.073 Ha/atom.



3.
Computed, not measured: crystalline Fe2ReHW at its relaxed geometry at the PBE level of DFT.

The structure belongs to space group P4/mmm (No. 123); the cell edges are 3.7427, 3.7427 and 3.8436 Å and the angles 90.00°, 90.00° and 90.00°. The inequivalent atoms are Fe at (0.0000, 0.5000, 0.0000), Re at (0.0000, 0.0000, 0.5000), H at (0.5000, 0.5000, 0.0000) and W at (0.5000, 0.5000, 0.5000).

The theoretical density is 14.89 Mg/m³. The energy above the most stable polymorph in this dataset comes out at 6.8 meV/atom. The value obtained for the electronic total energy is -0.332 Ha/atom.